i | {"formula": "MnSbSe2N", "functional": "GGA-PBE", "state": "optimized geometry", "total_magnetization_mub_per_cell": 5.150, "cell": [[-0.8044, 2.0022, 4.9133], [-2.0615, -4.6970, 1.5765], [3.5532, -1.2001, 1.0708]], "species": ["Se", "Se", "N", "Mn", "Sb"], "frac_coords": [[0.0000, 0.5000, 0.0000], [0.5000, 0.0000, 0.0000], [0.0000, 0.0000, 0.5000], [0.5000, 0.5000, 0.5000], [0.0000, 0.0000, 0.0000]]}

ii | {"formula": "MnSbSe2N", "functional": "GGA-PBE", "state": "optimized geometry", "total_magnetization_mub_per_cell": 2.169, "cell": [[5.0902, 0.0000, 0.0000], [0.0000, 5.0902, 0.0000], [0.0000, 0.0000, 3.5575]], "species": ["Se", "Se", "Mn", "N", "Sb"], "frac_coords": [[0.5000, 0.0000, 0.0000], [0.0000, 0.5000, 0.0000], [0.0000, 0.0000, 0.0000], [0.0000, 0.0000, 0.5000], [0.5000, 0.5000, 0.5000]]}

Q: What are the energies relative to the best structure? A: i 68.3; ii 0.0, in kJ/mol of atoms.